[1]
Ca2TbF8 | PBE | optimized geometry

As for the space group: Immm. As for the formation energy without anion corrections: -3540 meV/atom. As for the total energy: -5.69 eV/atom.

Cell and atoms, written as POSCAR:
```
Ca2TbF8
1.0
-1.948 3.012 5.787
1.948 -3.012 5.787
1.948 3.012 -5.787
Ca Tb F
2 1 8
direct
0.186 0.186 0.000
0.814 0.814 0.000
0.500 0.500 0.000
0.078 0.341 0.737
0.168 0.000 0.168
0.387 0.887 0.500
0.396 0.659 0.737
0.604 0.341 0.263
0.613 0.113 0.500
0.832 0.000 0.832
0.922 0.659 0.263
```

***

[2]
Y2Be2P | PBE | optimized geometry

As for the space group: I4/mmm. The excess energy over the best structure of this formula in the dataset comes out at 187 meV per atom. As for the total energy: -5.25 eV/atom. The calculation puts the formation energy at -89.9 meV/atom.

Cell and atoms, written as POSCAR:
```
Y2Be2P
1.0
-2.761 2.761 3.008
2.761 -2.761 3.008
2.761 2.761 -3.008
Y Be P
2 2 1
direct
0.250 0.750 0.500
0.750 0.250 0.500
0.157 0.157 0.000
0.843 0.843 0.000
0.500 0.500 0.000
```

***

[3]
ZnWSe2Br | PBE | optimized geometry

As for the space group: P4/mmm. The excess energy over the best structure of this formula in the dataset comes out at 0 meV per atom. As for the formation energy without anion corrections: 276 meV/atom. As for the total energy: -4.30 eV/atom.

Cell and atoms, written as POSCAR:
```
ZnWSe2Br
1.0
4.909 0.000 0.000
0.000 4.909 0.000
0.000 0.000 5.348
Zn W Se Br
1 1 2 1
direct
0.000 0.000 0.000
0.500 0.500 0.500
0.000 0.500 0.500
0.500 0.000 0.500
0.500 0.500 0.000
```